i | Density functional theory data (PBE-GGA) for TaSnRh3 after structural relaxation.

POSCAR file:
```
TaSnRh3
1.0
4.7162 0.0000 0.0000
0.0000 4.7162 0.0000
0.0000 0.0000 4.7162
Ta Sn Rh
1 1 3
Direct
0.0000 0.0000 0.0000
0.5000 0.5000 0.5000
0.0000 0.5000 0.5000
0.5000 0.0000 0.5000
0.5000 0.5000 0.0000
```

Space-group type ... No. 221

ii | Density functional theory data (PBE-GGA) for TaSnRh3 after structural relaxation.

POSCAR file:
```
TaSnRh3
1.0
4.7581 0.0000 0.0000
0.0000 4.7581 0.0000
0.0000 0.0000 4.7581
Ta Sn Rh
1 1 3
Direct
0.0000 0.0000 0.0000
0.5000 0.5000 0.5000
0.0000 0.0000 0.5000
0.0000 0.5000 0.0000
0.5000 0.0000 0.0000
```

Space-group type ... No. 221

Which of them is most stable, and which least? Most stable: ii; least stable: i.

i | Density functional theory data (PBE-GGA) for Ta2Sn2Rh after structural relaxation.

POSCAR file:
```
Ta2Sn2Rh
1.0
-1.9341 1.9341 7.0440
1.9341 -1.9341 7.0440
1.9341 1.9341 -7.0440
Ta Sn Rh
2 2 1
Direct
0.0899 0.0899 0.0000
0.9101 0.9101 0.0000
0.2500 0.7500 0.5000
0.7500 0.2500 0.5000
0.5000 0.5000 0.0000
```

Space-group type ... No. 139

ii | Density functional theory data (PBE-GGA) for Ta2Sn2Rh after structural relaxation.

POSCAR file:
```
Ta2Sn2Rh
1.0
6.8203 0.0000 0.0000
0.0000 6.8203 0.0000
0.0000 0.0000 4.3971
Ta Sn Rh
4 4 2
Direct
0.1412 0.3588 0.0000
0.3588 0.8588 0.0000
0.6412 0.1412 0.0000
0.8588 0.6412 0.0000
0.1694 0.6694 0.5000
0.3306 0.1694 0.5000
0.6694 0.8306 0.5000
0.8306 0.3306 0.5000
0.0000 0.0000 0.0000
0.5000 0.5000 0.0000
```

Space-group type ... No. 127

Which of them is most stable, and which least? Most stable: ii; least stable: i.

i | Density functional theory data (PBE-GGA) for Tb3SnRh3 after structural relaxation.

POSCAR file:
```
Tb3SnRh3
1.0
8.5683 0.0000 0.0000
-4.2841 7.4203 0.0000
0.0000 0.0000 4.8049
Tb Sn Rh
6 2 6
Direct
0.0862 0.4094 0.2500
0.3232 0.9138 0.2500
0.4094 0.3232 0.7500
0.5906 0.6768 0.2500
0.6768 0.0862 0.7500
0.9138 0.5906 0.7500
0.3333 0.6667 0.7500
0.6667 0.3333 0.2500
0.0438 0.2078 0.7500
0.1640 0.9562 0.7500
0.2078 0.1640 0.2500
0.7922 0.8360 0.7500
0.8360 0.0438 0.2500
0.9562 0.7922 0.2500
```

Space-group type ... No. 176

ii | Density functional theory data (PBE-GGA) for Tb3SnRh3 after structural relaxation.

POSCAR file:
```
Tb3SnRh3
1.0
2.2009 -5.1851 0.0000
2.2009 5.1851 0.0000
0.0000 0.0000 13.2831
Tb Sn Rh
6 2 6
Direct
0.0215 0.9785 0.7500
0.2997 0.7003 0.6061
0.2997 0.7003 0.8939
0.7003 0.2997 0.1061
0.7003 0.2997 0.3939
0.9785 0.0215 0.2500
0.0000 0.0000 0.0000
0.0000 0.0000 0.5000
0.2467 0.7533 0.2500
0.4079 0.5921 0.0943
0.4079 0.5921 0.4057
0.5921 0.4079 0.5943
0.5921 0.4079 0.9057
0.7533 0.2467 0.7500
```

Space-group type ... No. 63

Which of them is most stable, and which least? Most stable: ii; least stable: i.

i | Density functional theory data (PBE-GGA) for TcSn2Rh after structural relaxation.

POSCAR file:
```
TcSn2Rh
1.0
4.5680 0.0000 0.0000
0.0000 4.5680 0.0000
0.0000 0.0000 3.3080
Tc Sn Rh
1 2 1
Direct
0.0000 0.0000 0.0000
0.0000 0.5000 0.5000
0.5000 0.0000 0.5000
0.5000 0.5000 0.0000
```

Space-group type ... No. 123

ii | Density functional theory data (PBE-GGA) for TcSn2Rh after structural relaxation.

POSCAR file:
```
TcSn2Rh
1.0
0.0000 3.2593 3.2593
3.2593 0.0000 3.2593
3.2593 3.2593 0.0000
Tc Sn Rh
1 2 1
Direct
0.0000 0.0000 0.0000
0.2500 0.2500 0.2500
0.7500 0.7500 0.7500
0.5000 0.5000 0.5000
```

Space-group type ... No. 225

iii | Density functional theory data (PBE-GGA) for TcSn2Rh after structural relaxation.

POSCAR file:
```
TcSn2Rh
1.0
1.5506 0.8952 9.5037
-1.5506 0.8952 9.5037
0.0000 -1.7905 9.5037
Tc Sn Rh
1 2 1
Direct
0.0000 0.0000 0.0000
0.0940 0.0940 0.0940
0.9060 0.9060 0.9060
0.5000 0.5000 0.5000
```

Space-group type ... No. 166

Which of them is most stable, and which least? Most stable: i; least stable: iii.